[1]
Density functional theory data (GGA-PBE) for an optimized crystal structure of P2RhBr.

Cell lengths 5.832, 5.832, 5.832 Å; angles 150.58, 133.51, 55.98 degrees
Positions (direct):
Br  0.750  0.250  0.500
P  0.055  0.055  0.000
P  0.445  0.445  0.000
Rh  0.250  0.750  0.500

Computed properties:
DOS(E_F): 2.1 states/eV per cell
DFT total energy: -18.15 eV for the cell shown
formation energy (no corrections): 0.424 eV per atom
energy relative to the lowest polymorph listed for this composition: 60.5 kJ/mol of atoms

***

[2]
Density functional theory data (GGA-PBE) for an optimized crystal structure of Rb2CrS4.

Cell lengths 6.976, 9.820, 12.295 Å; angles 90.00, 90.00, 90.00 degrees
Positions (direct):
Rb  0.750  0.535  0.335
Rb  0.250  0.465  0.665
Rb  0.250  0.965  0.835
Rb  0.750  0.035  0.165
Rb  0.750  0.849  0.602
Rb  0.250  0.151  0.398
Rb  0.250  0.651  0.102
Rb  0.750  0.349  0.898
Cr  0.750  0.754  0.920
Cr  0.250  0.246  0.080
Cr  0.250  0.746  0.420
Cr  0.750  0.254  0.580
S  0.509  0.666  0.849
S  0.491  0.334  0.151
S  0.491  0.834  0.349
S  0.009  0.334  0.151
S  0.509  0.166  0.651
S  0.991  0.666  0.849
S  0.991  0.166  0.651
S  0.009  0.834  0.349
S  0.750  0.964  0.892
S  0.250  0.036  0.108
S  0.250  0.536  0.392
S  0.750  0.464  0.608
S  0.750  0.211  0.414
S  0.250  0.789  0.586
S  0.250  0.289  0.914
S  0.750  0.711  0.086

Computed properties:
DFT total energy: -136.45 eV for the cell shown
formation energy (no corrections): -0.863 eV per atom
energy relative to the lowest polymorph listed for this composition: 0.0 kJ/mol of atoms

***

[3]
Density functional theory data (GGA-PBE) for an optimized crystal structure of CoRe2W.

Cell lengths 4.348, 4.348, 4.348 Å; angles 60.00, 60.00, 60.00 degrees
Site moments in Bohr magnetons follow the coordinates.
Positions (direct):
Re  0.250  0.250  0.250  0.32
Re  0.750  0.750  0.750  0.32
Co  0.000  0.000  0.000  1.55
W  0.500  0.500  0.500  0.01

Computed properties:
DOS(E_F): 5.4 states/eV per cell
DFT total energy: -44.05 eV for the cell shown
energy of formation from the pure elements: 0.23 eV/atom
energy relative to the lowest polymorph listed for this composition: 17.5 kJ/mol of atoms